A plane-wave DFT calculation with GGA-PBE was carried out for Tm6Hg2Os after structural relaxation.

Cell and atoms, written as POSCAR:
```
Tm6Hg2Os
1.0
-2.4968 3.5057 7.2779
2.4968 -3.5057 7.2779
2.4968 3.5057 -7.2779
Tm Hg Os
6 2 1
Cartesian
2.4968 1.6949 -2.2805
0.0000 1.6112 0.0000
2.4968 1.6949 2.2805
0.0000 1.8108 4.9975
0.0000 5.4003 0.0000
0.0000 1.8108 9.5584
2.4968 0.0000 4.8585
0.0000 3.5057 2.4195
2.4968 0.0000 0.0000
```

Results
Energy of formation ... -0.199 eV/atom
D(E_F) ... 10.30 states/eV/cell
DFT total energy ... -4.495 eV/atom
Space-group type ... Immm (71)
V ... 254.8 Å³/cell

***

A plane-wave DFT calculation with GGA-PBE was carried out for SrBeRePb2 after structural relaxation.

Cell and atoms, written as POSCAR:
```
SrBeRePb2
1.0
6.0689 0.0000 0.0000
0.0000 6.0689 0.0000
0.0000 0.0000 5.2259
Sr Be Re Pb
1 1 1 2
Cartesian
0.0000 0.0000 0.0000
3.0345 3.0345 2.6130
0.0000 0.0000 2.6130
0.0000 3.0345 0.0000
3.0345 0.0000 0.0000
```

Results
Energy of formation ... 2.346 eV/atom
D(E_F) ... 6.19 states/eV/cell
DFT total energy ... -2.709 eV/atom
Space-group type ... P4/mmm (123)
V ... 192.5 Å³/cell

***

A plane-wave DFT calculation with GGA-PBE was carried out for HoZr3Tl3Te8 after structural relaxation.

Cell and atoms, written as POSCAR:
```
HoZr3Tl3Te8
1.0
7.1715 -4.1450 0.0000
7.1715 4.1450 0.0000
-4.7688 0.0000 8.4099
Ho Zr Tl Te
1 3 3 8
Cartesian
0.0000 0.0000 0.0000
3.5857 2.0725 0.0000
3.5857 -2.0725 0.0000
7.1715 0.0000 0.0000
-2.3844 0.0000 4.2050
1.2013 2.0725 4.2050
1.2013 -2.0725 4.2050
2.4809 0.0000 1.7854
5.9346 1.9962 1.7860
0.0095 0.0000 6.6586
3.6395 1.9962 6.6239
5.9346 -1.9962 1.7860
9.5646 0.0000 1.7514
3.6395 -1.9962 6.6239
7.0932 0.0000 6.6246
```

Results
D(E_F) ... 6.11 states/eV/cell
Formation energy (no corrections) ... -0.7909 eV per atom
DFT total energy ... -4.955 eV/atom
Space-group type ... C2/m (12)
V ... 500.0 Å³/cell

***

A plane-wave DFT calculation with GGA-PBE was carried out for NbS3Br after structural relaxation.

Cell and atoms, written as POSCAR:
```
NbS3Br
1.0
-2.4736 2.4736 9.4738
2.4736 -2.4736 9.4738
2.4736 2.4736 -9.4738
Nb S Br
2 6 2
Cartesian
0.0000 0.0000 0.0000
0.0000 2.4736 4.7369
2.4736 0.0000 0.4792
0.0000 1.0088 2.5416
2.4736 0.0000 8.9946
-1.4647 2.4736 6.9322
1.4647 2.4736 6.9322
0.0000 3.9383 2.5416
0.0000 0.0000 5.6212
0.0000 0.0000 13.3263
```

Results
D(E_F) ... 4.80 states/eV/cell
Formation energy (no corrections) ... -0.1903 eV per atom
ΔE to the lowest computed polymorph ... 0.511 eV per atom
DFT total energy ... -5.015 eV/atom
Space-group type ... I-4m2 (119)
V ... 231.9 Å³/cell